Here is a crystal of Zn2InSb relaxed with PBEsol from the Alexandria database. Energies are from meta-GGA SCAN.

Summary:
- crystal system = trigonal
- magnetization (μB per formula unit) = 0.000
- space group = R-3m (166)
- formation energy from raw total energies (eV per atom) = 0.148
- energy (eV/atom) = -24.271

```
Zn2InSb
1.0
1.7641 1.0185 7.8028
-1.7641 1.0185 7.8028
0.0000 -2.0371 7.8028
Zn In Sb
2 1 1
Cartesian
0.0000 0.0000 5.8578 Zn
0.0000 0.0000 17.5508 Zn
0.0000 0.0000 11.7043 In
0.0000 0.0000 0.0000 Sb
```